Record 1
VASP calculation (PBE) on crystalline Ca3PrIr8 at its relaxed geometry.

The space group is P3m1 (No. 156) and the conventional cell measures 5.3769, 5.3769 and 8.8141 Å, with angles of 90.00, 90.00 and 120.00 degrees. The distinct sites, in fractional coordinates, are Ca at (0.0000, 0.0000, 0.0000), Ca at (0.0000, 0.0000, 0.3593), Ca at (0.3333, 0.6667, 0.8714), Pr at (0.3333, 0.6667, 0.5021), Ir at (0.0061, 0.5031, 0.1816), Ir at (0.3260, 0.1630, 0.6842), Ir at (0.6667, 0.3333, 0.4309) and Ir at (0.6667, 0.3333, 0.9322).

The calculation puts the magnetic moment at 0.00 Bohr magnetons per cell. Its density of states at the Fermi level is 7.48 states/eV/cell. The calculation puts the energy of formation from the pure elements at -0.53 eV/atom.

---

Record 2
VASP calculation (PBE) on crystalline CaCr2Mo at its relaxed geometry.

The space group is P4/mmm (No. 123) and the conventional cell measures 3.1655, 3.1655 and 7.5058 Å, with angles of 90.00, 90.00 and 90.00 degrees. The distinct sites, in fractional coordinates, are Ca at (0.0000, 0.0000, 0.0000), Cr at (0.5000, 0.5000, 0.3162) and Mo at (0.0000, 0.0000, 0.5000).

The calculation puts the magnetic moment at 4.84 Bohr magnetons per cell. The calculation puts the energy above the lowest structure with this stoichiometry at 0.0000 eV per atom. Its density of states at the Fermi level is 3.82 states/eV/cell. The calculation puts the energy of formation from the pure elements at 0.50 eV/atom.

---

Record 3
VASP calculation (PBE) on crystalline Dy2Zn2Au at its relaxed geometry.

The space group is C2/m (No. 12) and the conventional cell measures 10.3454, 4.4692 and 10.4908 Å, with angles of 90.00, 114.54 and 90.00 degrees. The distinct sites, in fractional coordinates, are Dy at (0.0205, 0.0000, 0.3367), Dy at (0.1914, 0.0000, 0.1103), Zn at (0.0232, 0.5000, 0.8893), Zn at (0.1360, 0.5000, 0.5618) and Au at (0.2269, 0.5000, 0.3333).

The calculation puts the magnetic moment at 0.00 Bohr magnetons per cell. Its density of states at the Fermi level is 17.42 states/eV/cell. The calculation puts the energy of formation from the pure elements at -0.50 eV/atom.

---

Record 4
VASP calculation (PBE) on crystalline Er3TmIn2 at its relaxed geometry.

The space group is Immm (No. 71) and the conventional cell measures 3.3628, 5.6419 and 18.5034 Å, with angles of 90.00, 90.00 and 90.00 degrees. The distinct sites, in fractional coordinates, are Er at (0.0000, 0.0000, 0.0000), Er at (0.0000, 0.5000, 0.1868), Tm at (0.0000, 0.5000, 0.0000) and In at (0.0000, 0.5000, 0.3542).

The calculation puts the magnetic moment at 0.01 Bohr magnetons per cell. The calculation puts the energy above the lowest structure with this stoichiometry at 0.4486 eV per atom. Its density of states at the Fermi level is 16.88 states/eV/cell. The calculation puts the energy of formation from the pure elements at 0.13 eV/atom.

---

Record 5
VASP calculation (PBE) on crystalline CaRe2Mo at its relaxed geometry.

The space group is Cmm2 (No. 35) and the conventional cell measures 3.1868, 4.5296 and 9.6197 Å, with angles of 90.00, 90.00 and 90.00 degrees. The distinct sites, in fractional coordinates, are Ca at (0.0000, 0.0000, 0.0000), Re at (0.0000, 0.0000, 0.5063), Re at (0.0000, 0.5000, 0.7289) and Mo at (0.0000, 0.5000, 0.2822).

The calculation puts the magnetic moment at 0.00 Bohr magnetons per cell. The calculation puts the energy above the lowest structure with this stoichiometry at 0.0992 eV per atom. Its density of states at the Fermi level is 8.20 states/eV/cell. The calculation puts the energy of formation from the pure elements at 0.56 eV/atom.

---

Record 6
VASP calculation (PBE) on crystalline Li2GaPd2 at its relaxed geometry.

The space group is P4/mbm (No. 127) and the conventional cell measures 6.4133, 6.4133 and 3.9028 Å, with angles of 90.00, 90.00 and 90.00 degrees. The distinct sites, in fractional coordinates, are Li at (0.1570, 0.3430, 0.0000), Ga at (0.0000, 0.0000, 0.5000) and Pd at (0.1477, 0.6477, 0.5000).

The calculation puts the magnetic moment at 0.00 Bohr magnetons per cell. The calculation puts the energy above the lowest structure with this stoichiometry at 0.0754 eV per atom. Its density of states at the Fermi level is 4.25 states/eV/cell. The calculation puts the energy of formation from the pure elements at -0.50 eV/atom.

---

Record 7
VASP calculation (PBE) on crystalline RbOsO2F at its relaxed geometry.

The space group is P4/mmm (No. 123) and the conventional cell measures 3.7356, 3.7356 and 6.6547 Å, with angles of 90.00, 90.00 and 90.00 degrees. The distinct sites, in fractional coordinates, are Rb at (0.0000, 0.0000, 0.0000), Os at (0.5000, 0.5000, 0.5000), O at (0.0000, 0.5000, 0.5000) and F at (0.5000, 0.5000, 0.0000).

The calculation puts the magnetic moment at 0.00 Bohr magnetons per cell. The energy relative to the elements, uncorrected is -1.394 eV/atom. Its density of states at the Fermi level is 2.12 states/eV/cell.

---

Record 8
VASP calculation (PBE) on crystalline Li2PmTmCd4 at its relaxed geometry.

The space group is R-3m (No. 166, hexagonal axes) and the conventional cell measures 5.0691, 5.0691 and 24.9384 Å, with angles of 90.00, 90.00 and 120.00 degrees. The distinct sites, in fractional coordinates, are Li at (0.0000, 0.0000, 0.2486), Pm at (0.0000, 0.0000, 0.0000), Tm at (0.0000, 0.0000, 0.5000), Cd at (0.0000, 0.0000, 0.1274) and Cd at (0.0000, 0.0000, 0.3779).

The calculation puts the magnetic moment at 0.00 Bohr magnetons per cell. Its density of states at the Fermi level is 17.76 states/eV/cell. The calculation puts the energy of formation from the pure elements at -0.26 eV/atom.

---

Record 9
VASP calculation (PBE) on crystalline Cs3AgO at its relaxed geometry.

The space group is Pm-3m (No. 221) and the conventional cell measures 5.9753, 5.9753 and 5.9753 Å, with angles of 90.00, 90.00 and 90.00 degrees. The distinct sites, in fractional coordinates, are Cs at (0.0000, 0.0000, 0.5000), Ag at (0.5000, 0.5000, 0.5000) and O at (0.0000, 0.0000, 0.0000).

The calculation puts the magnetic moment at 0.00 Bohr magnetons per cell. The energy relative to the elements, uncorrected is -0.533 eV/atom. The calculation puts the energy above the lowest structure with this stoichiometry at 0.0129 eV per atom. Its density of states at the Fermi level is 1.48 states/eV/cell.